[1]
{"formula": "Mg2BiP2", "functional": "PBE", "state": "optimized geometry", "formation_enthalpy_0k_ev_per_atom": -0.16, "e_tot_ev_per_atom": -3.739, "total_magnetization_mub_per_fu": 0.0, "lattice_angstrom": [[-0.5238, -3.3398, 6.9034], [-5.3392, -4.8081, -2.7312], [2.5217, -2.2819, -0.9126]], "species": ["P", "P", "P", "P", "Bi", "Bi", "Mg", "Mg", "Mg", "Mg"], "frac_coords": [[0.8390, 0.6610, 0.0000], [0.1610, 0.3390, 0.0000], [0.6610, 0.1610, 0.0000], [0.3390, 0.8390, 0.0000], [0.0000, 0.0000, 0.0000], [0.5000, 0.5000, 0.0000], [0.6392, 0.8608, 0.5000], [0.3608, 0.1392, 0.5000], [0.8608, 0.3608, 0.5000], [0.1392, 0.6392, 0.5000]]}



[2]
{"formula": "Ta3InPt", "functional": "PBE", "state": "optimized geometry", "formation_enthalpy_0k_ev_per_atom": 2.17, "e_tot_ev_per_atom": -6.693, "total_magnetization_mub_per_fu": 0.0, "lattice_angstrom": [[-3.6572, -1.8942, 2.6772], [3.2610, -1.6740, 3.2702], [-0.3487, 4.2119, 2.5038]], "species": ["Ta", "Ta", "Ta", "In", "Pt"], "frac_coords": [[0.5000, 0.0000, 0.0000], [0.0000, 0.5000, 0.0000], [0.0000, 0.0000, 0.5000], [0.0000, 0.0000, 0.0000], [0.5000, 0.5000, 0.5000]]}



[3]
{"formula": "ZnBi2RuPt", "functional": "PBE", "state": "optimized geometry", "formation_enthalpy_0k_ev_per_atom": 0.54, "e_tot_ev_per_atom": -4.327, "total_magnetization_mub_per_fu": 0.0, "lattice_angstrom": [[5.1315, 0.0000, 0.0000], [0.0000, 4.7475, 0.0000], [0.0000, 0.0000, 5.1315]], "species": ["Bi", "Bi", "Pt", "Ru", "Zn"], "frac_coords": [[0.0000, 0.0000, 0.5000], [0.5000, 0.0000, 0.0000], [0.5000, 0.5000, 0.5000], [0.0000, 0.0000, 0.0000], [0.0000, 0.5000, 0.0000]]}



[4]
{"formula": "BaCdCoSn2", "functional": "PBE", "state": "optimized geometry", "formation_enthalpy_0k_ev_per_atom": -0.22, "e_tot_ev_per_atom": -3.813, "total_magnetization_mub_per_fu": 0.6, "lattice_angstrom": [[-4.9493, -0.7679, 0.5138], [0.9224, -3.9450, 2.9892], [-0.0549, 3.1205, 4.1353]], "species": ["Sn", "Sn", "Ba", "Cd", "Co"], "frac_coords": [[0.0000, 0.5000, 0.0000], [0.5000, 0.0000, 0.0000], [0.5000, 0.5000, 0.5000], [0.0000, 0.0000, 0.5000], [0.0000, 0.0000, 0.0000]]}



[5]
{"formula": "AlAu3", "functional": "PBE", "state": "optimized geometry", "formation_enthalpy_0k_ev_per_atom": -0.09, "e_tot_ev_per_atom": -3.488, "total_magnetization_mub_per_fu": 0.0, "lattice_angstrom": [[-2.9411, 2.7724, -3.4727], [-2.6036, -3.4508, 3.1160], [4.1400, 2.5424, 2.1892]], "species": ["Au", "Au", "Au", "Al"], "frac_coords": [[0.0000, 0.5000, 0.5000], [0.5000, 0.0000, 0.5000], [0.5000, 0.5000, 0.0000], [0.0000, 0.0000, 0.0000]]}



[6]
{"formula": "Hf2ZrAg2", "functional": "PBE", "state": "optimized geometry", "formation_enthalpy_0k_ev_per_atom": 0.22, "e_tot_ev_per_atom": -6.609, "total_magnetization_mub_per_fu": 0.0, "lattice_angstrom": [[8.0381, 0.0000, 0.0000], [0.0000, 8.0381, 0.0000], [0.0000, 0.0000, 3.2410]], "species": ["Ag", "Ag", "Ag", "Ag", "Zr", "Zr", "Hf", "Hf", "Hf", "Hf"], "frac_coords": [[0.8665, 0.3665, 0.5000], [0.1335, 0.6335, 0.5000], [0.6335, 0.8665, 0.5000], [0.3665, 0.1335, 0.5000], [0.0000, 0.0000, 0.0000], [0.5000, 0.5000, 0.0000], [0.6631, 0.1631, 0.0000], [0.8369, 0.6631, 0.0000], [0.3369, 0.8369, 0.0000], [0.1631, 0.3369, 0.0000]]}



[7]
{"formula": "SrPm5Ir2", "functional": "PBE", "state": "optimized geometry", "formation_enthalpy_0k_ev_per_atom": -0.37, "e_tot_ev_per_atom": -5.763, "total_magnetization_mub_per_fu": 0.0, "lattice_angstrom": [[4.4055, 0.0000, 0.0000], [2.2027, 8.5602, 1.5542], [2.2027, 4.0576, 7.6960]], "species": ["Ir", "Ir", "Pm", "Pm", "Pm", "Pm", "Pm", "Sr"], "frac_coords": [[0.8105, 0.6895, 0.6895], [0.1895, 0.3105, 0.3105], [0.6621, 0.5751, 0.1008], [0.3379, 0.8992, 0.4249], [0.0000, 0.5000, 0.5000], [0.6621, 0.1008, 0.5751], [0.3379, 0.4249, 0.8992], [0.0000, 0.0000, 0.0000]]}



[8]
{"formula": "Tb7Nd3In2", "functional": "PBE", "state": "optimized geometry", "formation_enthalpy_0k_ev_per_atom": -0.05, "e_tot_ev_per_atom": -4.403, "total_magnetization_mub_per_fu": 0.0, "lattice_angstrom": [[-0.0618, 0.8668, -3.5260], [4.7793, -2.9891, -0.8185], [-13.9007, -12.7733, -2.8966]], "species": ["Tb", "Tb", "Tb", "Tb", "Tb", "Tb", "Tb", "In", "In", "Nd", "Nd", "Nd"], "frac_coords": [[0.5000, 0.0063, 0.8292], [0.0000, 0.5247, 0.8504], [0.5000, 0.9937, 0.1708], [0.0000, 0.0000, 0.0000], [0.5000, 0.2819, 0.5406], [0.5000, 0.7181, 0.4594], [0.0000, 0.4753, 0.1496], [0.5000, 0.5849, 0.2915], [0.5000, 0.4151, 0.7085], [0.0000, 0.1405, 0.3633], [0.5000, 0.5000, 0.0000], [0.0000, 0.8595, 0.6367]]}



[9]
{"formula": "AcCd5Rh2", "functional": "PBE", "state": "optimized geometry", "formation_enthalpy_0k_ev_per_atom": -0.30, "e_tot_ev_per_atom": -3.220, "total_magnetization_mub_per_fu": 0.0, "lattice_angstrom": [[-3.4782, 2.1481, -0.8187], [-2.3380, -2.0905, -6.1678], [-5.3757, -4.0038, 1.7174]], "species": ["Rh", "Rh", "Ac", "Cd", "Cd", "Cd", "Cd", "Cd"], "frac_coords": [[0.7216, 0.7784, 0.7784], [0.2784, 0.2216, 0.2216], [0.0000, 0.0000, 0.0000], [0.6582, 0.1567, 0.5269], [0.6582, 0.5269, 0.1567], [0.3418, 0.4731, 0.8433], [0.3418, 0.8433, 0.4731], [0.0000, 0.5000, 0.5000]]}



[10]
{"formula": "MgFeNi6", "functional": "PBE", "state": "optimized geometry", "formation_enthalpy_0k_ev_per_atom": -0.09, "e_tot_ev_per_atom": -5.681, "total_magnetization_mub_per_fu": 5.6, "lattice_angstrom": [[-5.9373, -0.2169, -1.8222], [1.0270, -4.3694, 4.2980], [-2.4858, 6.6090, 7.3128]], "species": ["Ni", "Ni", "Ni", "Ni", "Ni", "Ni", "Ni", "Ni", "Ni", "Ni", "Ni", "Ni", "Ni", "Ni", "Ni", "Ni", "Ni", "Ni", "Ni", "Ni", "Ni", "Ni", "Ni", "Ni", "Mg", "Mg", "Mg", "Mg", "Fe", "Fe", "Fe", "Fe"], "frac_coords": [[0.8808, 0.6340, 0.6207], [0.7534, 0.2466, 0.0072], [0.6340, 0.8808, 0.6207], [0.7534, 0.2466, 0.4929], [0.8824, 0.6292, 0.3712], [0.3659, 0.1192, 0.8793], [0.3708, 0.1176, 0.3712], [0.6341, 0.8808, 0.8793], [0.1176, 0.3708, 0.1287], [0.5000, 0.5000, 0.2499], [0.0000, 0.0000, 0.2500], [0.0000, 0.0000, 0.7500], [0.6292, 0.8824, 0.3712], [0.2466, 0.7534, 0.0072], [0.2466, 0.7534, 0.4929], [0.1192, 0.3660, 0.6207], [0.6292, 0.8824, 0.1287], [0.3660, 0.1192, 0.6207], [0.5000, 0.5000, 0.7500], [0.1192, 0.3659, 0.8793], [0.3708, 0.1176, 0.1287], [0.8808, 0.6341, 0.8793], [0.1176, 0.3708, 0.3712], [0.8824, 0.6292, 0.1287], [0.7462, 0.2538, 0.7500], [0.2538, 0.7462, 0.7500], [0.5000, 0.5000, 0.0004], [0.5000, 0.5000, 0.4995], [0.2535, 0.7465, 0.2500], [0.0000, 0.0000, 0.9992], [0.0000, 0.0000, 0.5008], [0.7465, 0.2535, 0.2500]]}



[11]
{"formula": "KSc3Tc", "functional": "PBE", "state": "optimized geometry", "formation_enthalpy_0k_ev_per_atom": 0.25, "e_tot_ev_per_atom": -5.840, "total_magnetization_mub_per_fu": 0.0, "lattice_angstrom": [[-4.9532, -0.0885, -1.5990], [-0.9126, -4.1153, 3.0545], [-1.3160, 3.1867, 3.9002]], "species": ["Sc", "Sc", "Sc", "K", "Tc"], "frac_coords": [[0.5000, 0.0000, 0.0000], [0.0000, 0.5000, 0.0000], [0.0000, 0.0000, 0.5000], [0.5000, 0.5000, 0.5000], [0.0000, 0.0000, 0.0000]]}



[12]
{"formula": "TiNbCoBr", "functional": "PBE", "state": "optimized geometry", "e_tot_ev_per_atom": -6.758, "formation_energy_uncorrected_kj_per_mol_atoms": -6.9, "total_magnetization_mub_per_fu": 0.0, "lattice_angstrom": [[3.2307, 0.0000, 0.0000], [0.0000, 3.1591, 0.0000], [0.0000, 0.0000, 14.2722]], "species": ["Br", "Br", "Co", "Co", "Nb", "Nb", "Ti", "Ti"], "frac_coords": [[0.0000, 0.0000, 0.5557], [0.5000, 0.5000, 0.0557], [0.0000, 0.5000, 0.2017], [0.5000, 0.0000, 0.7017], [0.5000, 0.0000, 0.2835], [0.0000, 0.5000, 0.7835], [0.0000, 0.5000, 0.4081], [0.5000, 0.0000, 0.9081]]}